Entry 1:
{"formula": "ZrTeSe2", "functional": "PBE", "state": "optimized geometry", "lattice": [[5.013, 0.000, 0.000], [2.507, 4.342, 0.000], [2.507, 1.447, 4.093]], "species": ["Se", "Se", "Te", "Zr"], "frac_coords": [[0.000, 0.000, 0.000], [0.250, 0.250, 0.250], [0.500, 0.500, 0.500], [0.750, 0.750, 0.750]], "rho_g_cm3": 7.0, "magnetic_moment_mub_per_fu": 0.00}

---

Entry 2:
{"formula": "ZrTeSe3", "functional": "PBE", "state": "optimized geometry", "lattice": [[-0.355, 0.882, 5.130], [3.630, -3.644, 0.877], [3.731, 3.629, -0.366]], "species": ["Te", "Se", "Se", "Se", "Zr"], "frac_coords": [[0.500, 0.500, 0.500], [0.000, 0.500, 0.000], [0.000, 0.000, 0.500], [0.500, 0.000, 0.000], [0.000, 0.000, 0.000]], "rho_g_cm3": 5.3, "magnetic_moment_mub_per_fu": 0.00}

---

Entry 3:
{"formula": "ZrTeSe2", "functional": "PBE", "state": "optimized geometry", "lattice": [[-0.911, -2.175, 2.435], [-1.470, -1.985, -2.322], [6.975, -4.019, -0.980]], "species": ["Se", "Se", "Te", "Zr"], "frac_coords": [[0.000, 0.000, 0.938], [0.000, 0.000, 0.562], [0.500, 0.500, 0.250], [0.500, 0.500, 0.750]], "rho_g_cm3": 6.7, "magnetic_moment_mub_per_fu": 0.00}

---

Entry 4:
{"formula": "ZrTeSe", "functional": "PBE", "state": "optimized geometry", "lattice": [[4.665, 0.000, 0.000], [-2.333, 4.040, 0.000], [0.000, 0.000, 3.789]], "species": ["Se", "Te", "Zr"], "frac_coords": [[0.000, 0.000, 0.833], [0.667, 0.333, 0.333], [0.333, 0.667, 0.833]], "rho_g_cm3": 6.9, "magnetic_moment_mub_per_fu": 0.00}

---

Entry 5:
{"formula": "ZrTeSe", "functional": "PBE", "state": "optimized geometry", "lattice": [[3.892, 0.000, 0.000], [0.000, 6.676, 0.812], [0.000, -1.218, 6.944]], "species": ["Zr", "Zr", "Te", "Te", "Se", "Se"], "frac_coords": [[0.750, 0.241, 0.502], [0.250, 0.759, 0.498], [0.750, 0.595, 0.761], [0.250, 0.405, 0.239], [0.750, 0.901, 0.279], [0.250, 0.099, 0.721]], "rho_g_cm3": 5.4, "magnetic_moment_mub_per_fu": 0.00}

---

Entry 6:
{"formula": "ZrTeSe2", "functional": "PBE", "state": "optimized geometry", "lattice": [[3.917, 0.000, 0.000], [0.000, 5.757, 0.000], [0.000, 0.000, 4.129]], "species": ["Se", "Se", "Te", "Zr"], "frac_coords": [[0.000, 0.000, 0.000], [0.500, 0.500, 0.000], [0.500, 0.000, 0.500], [0.000, 0.500, 0.500]], "rho_g_cm3": 6.7, "magnetic_moment_mub_per_fu": 0.00}

---

Taking the records one at a time from the top gives E_form (uncorrected) values of -0.747; -1.093; -2.628; -2.268; -3.319; -1.129 eV/f.u..